(1)
VASP calculation (GGA-PBE) on a relaxed LaZr2Ti2 crystal.

The space group is P4/mbm (No. 127) and the conventional cell measures 8.554, 8.554 and 3.244 Å, with angles of 90.00, 90.00 and 90.00 degrees. The asymmetric unit holds La at (0.000, 0.000, 0.000), Zr at (0.124, 0.376, 0.000) and Ti at (0.166, 0.666, 0.500).

As for the formation energy: 0.234 eV per atom. For the volume, the calculation gives 118.7 Å³/f.u. Its magnetization is 0.00 μB/cell.

(2)
VASP calculation (GGA-PBE) on a relaxed CsInTe2 crystal.

The space group is C2/c (No. 15) and the conventional cell measures 12.057, 9.335 and 7.642 Å, with angles of 90.00, 129.26 and 90.00 degrees. The asymmetric unit holds Cs at (0.000, 0.001, 0.250), In at (0.000, 0.500, 0.250) and Te at (0.162, 0.338, 0.161).

For the volume, the calculation gives 166.5 Å³/f.u. For the uncorrected formation energy, the calculation gives -0.73 eV/atom. Its magnetization is 0.00 μB/cell.

(3)
VASP calculation (GGA-PBE) on a relaxed Na3Hg2Sb2 crystal.

The space group is Pbcm (No. 57) and the conventional cell measures 6.049, 8.486 and 15.491 Å, with angles of 90.00, 90.00 and 90.00 degrees. The asymmetric unit holds Na at (0.129, 0.063, 0.121), Na at (0.334, 0.714, 0.250), Hg at (0.348, 0.087, 0.578), Sb at (0.176, 0.146, 0.750) and Sb at (0.261, 0.750, 0.000).

For the volume, the calculation gives 198.8 Å³/f.u. For the uncorrected formation energy, the calculation gives -0.26 eV/atom. Its magnetization is 0.00 μB/cell.

(4)
VASP calculation (GGA-PBE) on a relaxed In10Hg4Pb crystal.

The space group is I4/m (No. 87) and the conventional cell measures 10.857, 10.857 and 7.556 Å, with angles of 90.00, 90.00 and 90.00 degrees. The asymmetric unit holds In at (0.000, 0.500, 0.250), In at (0.093, 0.202, 0.219), Hg at (0.123, 0.682, 0.000) and Pb at (0.000, 0.000, 0.500).

As for the formation energy: 0.062 eV per atom. For the volume, the calculation gives 445.3 Å³/f.u. Its magnetization is 0.00 μB/cell.

(5)
VASP calculation (GGA-PBE) on a relaxed Li4Al2Cu5 crystal.

The space group is C2/m (No. 12) and the conventional cell measures 8.393, 5.250 and 6.867 Å, with angles of 90.00, 95.36 and 90.00 degrees. The asymmetric unit holds Li at (0.135, 0.000, 0.100), Li at (0.165, 0.000, 0.465), Al at (0.129, 0.500, 0.157), Cu at (0.000, 0.500, 0.500) and Cu at (0.115, 0.251, 0.789).

As for the formation energy: -0.138 eV per atom. For the volume, the calculation gives 150.6 Å³/f.u. Its magnetization is 0.00 μB/cell.

(6)
VASP calculation (GGA-PBE) on a relaxed Li2Rh3O8 crystal.

The space group is C2/m (No. 12) and the conventional cell measures 10.331, 6.164 and 5.237 Å, with angles of 90.00, 111.49 and 90.00 degrees. The asymmetric unit holds Li at (0.186, 0.000, 0.146), Rh at (0.000, 0.240, 0.500), Rh at (0.000, 0.500, 0.000), O at (0.102, 0.271, 0.255), O at (0.107, 0.500, 0.741) and O at (0.113, 0.000, 0.708).

For the volume, the calculation gives 155.1 Å³/f.u. For the uncorrected formation energy, the calculation gives -0.92 eV/atom. Its magnetization is 0.00 μB/cell.

(7)
VASP calculation (GGA-PBE) on a relaxed LaHfS3 crystal.

The space group is Pm-3m (No. 221) and the conventional cell measures 4.879, 4.879 and 4.879 Å, with angles of 90.00, 90.00 and 90.00 degrees. The asymmetric unit holds La at (0.000, 0.000, 0.000), Hf at (0.500, 0.500, 0.500) and S at (0.000, 0.500, 0.500).

For the volume, the calculation gives 116.2 Å³/f.u. For the uncorrected formation energy, the calculation gives -1.59 eV/atom. Its magnetization is 0.00 μB/cell.

(8)
VASP calculation (GGA-PBE) on a relaxed ZrIrW2Au crystal.

The space group is P4/mmm (No. 123) and the conventional cell measures 4.747, 4.747 and 5.004 Å, with angles of 90.00, 90.00 and 90.00 degrees. The asymmetric unit holds Zr at (0.000, 0.000, 0.000), Ir at (0.000, 0.000, 0.500), W at (0.000, 0.500, 0.500) and Au at (0.500, 0.500, 0.000).

As for the formation energy: 1.244 eV per atom. For the volume, the calculation gives 112.8 Å³/f.u. Its magnetization is 0.00 μB/cell.

(9)
VASP calculation (GGA-PBE) on a relaxed DyLuScZn crystal.

The space group is F-43m (No. 216) and the conventional cell measures 7.310, 7.310 and 7.310 Å, with angles of 90.00, 90.00 and 90.00 degrees. The asymmetric unit holds Dy at (0.000, 0.000, 0.000), Lu at (0.000, 0.000, 0.500), Sc at (0.250, 0.250, 0.250) and Zn at (0.250, 0.250, 0.750).

As for the formation energy: 0.002 eV per atom. For the volume, the calculation gives 97.6 Å³/f.u. Its magnetization is 0.00 μB/cell.

(10)
VASP calculation (GGA-PBE) on a relaxed Ca3Cu5I12 crystal.

The space group is Ia-3d (No. 230) and the conventional cell measures 17.421, 17.421 and 17.421 Å, with angles of 90.00, 90.00 and 90.00 degrees. The asymmetric unit holds Ca at (0.000, 0.250, 0.125), Cu at (0.000, 0.000, 0.000), Cu at (0.000, 0.250, 0.375) and I at (0.029, 0.057, 0.651).

For the volume, the calculation gives 660.9 Å³/f.u. For the uncorrected formation energy, the calculation gives -0.70 eV/atom. Its magnetization is 0.00 μB/cell.

Question: magnetization of number 3 (Na3Hg2Sb2)?
Answer: 0.00 μB/cell